{
  "formula": "BiSbI2N",
  "functional": "SCAN",
  "state": "PBEsol geometry",
  "dft_energy_ev_per_fu": -193.6,
  "formation_energy_uncorrected_ev_per_atom": 1.010,
  "lattice_angstrom": [[6.206, 0.000, 0.000], [0.000, 6.206, 0.000], [0.000, 0.000, 4.091]],
  "species": ["Bi", "Sb", "I", "I", "N"],
  "frac_coords": [[0.000, 0.000, 0.000], [0.500, 0.500, 0.500], [0.000, 0.500, 0.000], [0.500, 0.000, 0.000], [0.000, 0.000, 0.500]]
}

=====

{
  "formula": "YGa4Pd",
  "functional": "SCAN",
  "state": "PBEsol geometry",
  "dft_energy_ev_per_fu": -130.0,
  "delta_e_f_ev_per_atom": -0.673,
  "lattice_angstrom": [[2.098, -7.652, 0.000], [2.098, 7.652, 0.000], [0.000, 0.000, 6.582]],
  "species": ["Y", "Y", "Ga", "Ga", "Ga", "Ga", "Ga", "Ga", "Ga", "Ga", "Pd", "Pd"],
  "frac_coords": [[0.122, 0.878, 0.750], [0.878, 0.122, 0.250], [0.062, 0.938, 0.250], [0.323, 0.677, 0.550], [0.323, 0.677, 0.950], [0.500, 0.500, 0.000], [0.500, 0.500, 0.500], [0.677, 0.323, 0.050], [0.677, 0.323, 0.450], [0.938, 0.062, 0.750], [0.222, 0.778, 0.250], [0.778, 0.222, 0.750]]
}

=====

{
  "formula": "In4Au9",
  "functional": "SCAN",
  "state": "PBEsol geometry",
  "dft_energy_ev_per_fu": -758.0,
  "delta_e_f_ev_per_atom": -0.156,
  "lattice_angstrom": [[9.837, 0.000, 0.000], [0.000, 9.837, 0.000], [0.000, 0.000, 9.837]],
  "species": ["In", "In", "In", "In", "In", "In", "In", "In", "In", "In", "In", "In", "In", "In", "In", "In", "Au", "Au", "Au", "Au", "Au", "Au", "Au", "Au", "Au", "Au", "Au", "Au", "Au", "Au", "Au", "Au", "Au", "Au", "Au", "Au", "Au", "Au", "Au", "Au", "Au", "Au", "Au", "Au", "Au", "Au", "Au", "Au", "Au", "Au", "Au", "Au"],
  "frac_coords": [[0.036, 0.309, 0.309], [0.036, 0.691, 0.691], [0.309, 0.036, 0.309], [0.309, 0.309, 0.036], [0.309, 0.691, 0.964], [0.309, 0.964, 0.691], [0.374, 0.374, 0.626], [0.374, 0.626, 0.374], [0.626, 0.374, 0.374], [0.626, 0.626, 0.626], [0.691, 0.036, 0.691], [0.691, 0.309, 0.964], [0.691, 0.691, 0.036], [0.691, 0.964, 0.309], [0.964, 0.309, 0.691], [0.964, 0.691, 0.309], [0.000, 0.000, 0.359], [0.000, 0.000, 0.641], [0.000, 0.359, 0.000], [0.000, 0.641, 0.000], [0.109, 0.109, 0.109], [0.109, 0.891, 0.891], [0.140, 0.500, 0.500], [0.176, 0.176, 0.824], [0.176, 0.824, 0.176], [0.184, 0.184, 0.530], [0.184, 0.470, 0.816], [0.184, 0.530, 0.184], [0.184, 0.816, 0.470], [0.334, 0.334, 0.334], [0.334, 0.666, 0.666], [0.359, 0.000, 0.000], [0.470, 0.184, 0.816], [0.470, 0.816, 0.184], [0.500, 0.140, 0.500], [0.500, 0.500, 0.140], [0.500, 0.500, 0.860], [0.500, 0.860, 0.500], [0.530, 0.184, 0.184], [0.530, 0.816, 0.816], [0.641, 0.000, 0.000], [0.666, 0.334, 0.666], [0.666, 0.666, 0.334], [0.816, 0.184, 0.470], [0.816, 0.470, 0.184], [0.816, 0.530, 0.816], [0.816, 0.816, 0.530], [0.824, 0.176, 0.176], [0.824, 0.824, 0.824], [0.860, 0.500, 0.500], [0.891, 0.109, 0.891], [0.891, 0.891, 0.109]]
}

=====

{
  "formula": "AlPPb2",
  "functional": "SCAN",
  "state": "PBEsol geometry",
  "relative_energy_ev_per_atom": 0.442,
  "dft_energy_ev_per_fu": -168.0,
  "delta_e_f_ev_per_atom": 0.433,
  "lattice_angstrom": [[-2.340, 2.340, 4.255], [2.340, -2.340, 4.255], [2.340, 2.340, -4.255]],
  "species": ["Al", "P", "Pb", "Pb"],
  "frac_coords": [[0.000, 0.000, 0.000], [0.500, 0.500, 0.000], [0.250, 0.750, 0.500], [0.750, 0.250, 0.500]]
}

=====

{
  "formula": "ZnCr5",
  "functional": "SCAN",
  "state": "PBEsol geometry",
  "relative_energy_ev_per_atom": 0.000,
  "dft_energy_ev_per_fu": -103.4,
  "delta_e_f_ev_per_atom": 0.334,
  "lattice_angstrom": [[4.197, 0.000, 0.000], [0.000, 1.162, 7.122], [0.000, -1.162, 7.122]],
  "species": ["Zn", "Cr", "Cr", "Cr", "Cr", "Cr"],
  "frac_coords": [[0.000, 0.000, 0.000], [0.000, 0.336, 0.336], [0.000, 0.668, 0.668], [0.500, 0.098, 0.098], [0.500, 0.427, 0.427], [0.500, 0.761, 0.761]]
}

=====

{
  "formula": "CsMgTe3",
  "functional": "SCAN",
  "state": "PBEsol geometry",
  "dft_energy_ev_per_fu": -156.7,
  "formation_energy_uncorrected_ev_per_atom": -0.438,
  "lattice_angstrom": [[5.585, 0.000, 0.000], [0.000, 5.585, 0.000], [0.000, 0.000, 5.585]],
  "species": ["Cs", "Mg", "Te", "Te", "Te"],
  "frac_coords": [[0.000, 0.000, 0.000], [0.500, 0.500, 0.500], [0.000, 0.500, 0.500], [0.500, 0.000, 0.500], [0.500, 0.500, 0.000]]
}

=====

{
  "formula": "Na2Nd2B2O7",
  "functional": "SCAN",
  "state": "PBEsol geometry",
  "dft_energy_ev_per_fu": -193.2,
  "formation_energy_uncorrected_ev_per_atom": -3.007,
  "lattice_angstrom": [[10.756, 0.000, 0.000], [0.000, 6.417, 0.000], [-4.849, 0.000, 9.223]],
  "species": ["Na", "Na", "Na", "Na", "Na", "Na", "Na", "Na", "Nd", "Nd", "Nd", "Nd", "Nd", "Nd", "Nd", "Nd", "B", "B", "B", "B", "B", "B", "B", "B", "O", "O", "O", "O", "O", "O", "O", "O", "O", "O", "O", "O", "O", "O", "O", "O", "O", "O", "O", "O", "O", "O", "O", "O", "O", "O", "O", "O"],
  "frac_coords": [[0.023, 0.056, 0.259], [0.023, 0.444, 0.759], [0.111, 0.721, 0.049], [0.111, 0.779, 0.549], [0.889, 0.221, 0.451], [0.889, 0.279, 0.951], [0.977, 0.556, 0.241], [0.977, 0.944, 0.741], [0.312, 0.082, 0.910], [0.312, 0.418, 0.410], [0.482, 0.538, 0.180], [0.482, 0.962, 0.680], [0.518, 0.038, 0.320], [0.518, 0.462, 0.820], [0.688, 0.582, 0.590], [0.688, 0.918, 0.090], [0.178, 0.245, 0.577], [0.178, 0.255, 0.077], [0.289, 0.654, 0.852], [0.289, 0.846, 0.352], [0.711, 0.154, 0.648], [0.711, 0.346, 0.148], [0.822, 0.745, 0.923], [0.822, 0.755, 0.423], [0.097, 0.174, 0.941], [0.097, 0.326, 0.441], [0.123, 0.143, 0.656], [0.123, 0.357, 0.156], [0.181, 0.744, 0.867], [0.181, 0.756, 0.367], [0.325, 0.235, 0.135], [0.325, 0.265, 0.635], [0.346, 0.742, 0.273], [0.346, 0.758, 0.773], [0.347, 0.038, 0.412], [0.347, 0.462, 0.912], [0.473, 0.624, 0.597], [0.473, 0.876, 0.097], [0.527, 0.124, 0.903], [0.527, 0.376, 0.403], [0.653, 0.538, 0.088], [0.653, 0.962, 0.588], [0.654, 0.242, 0.227], [0.654, 0.258, 0.727], [0.675, 0.735, 0.365], [0.675, 0.765, 0.865], [0.819, 0.244, 0.633], [0.819, 0.256, 0.133], [0.877, 0.643, 0.844], [0.877, 0.857, 0.344], [0.903, 0.674, 0.559], [0.903, 0.826, 0.059]]
}

=====

{
  "formula": "RbMoOF2",
  "functional": "SCAN",
  "state": "PBEsol geometry",
  "dft_energy_ev_per_fu": -68.7,
  "formation_energy_uncorrected_ev_per_atom": 0.047,
  "lattice_angstrom": [[4.733, 0.000, 0.000], [0.000, 4.733, 0.000], [0.000, 0.000, 4.353]],
  "species": ["Rb", "Mo", "O", "F", "F"],
  "frac_coords": [[0.000, 0.000, 0.000], [0.500, 0.500, 0.500], [0.000, 0.000, 0.500], [0.000, 0.500, 0.000], [0.500, 0.000, 0.000]]
}

=====

What did the sixth record say?
{
  "formula": "CsMgTe3",
  "functional": "SCAN",
  "state": "PBEsol geometry",
  "dft_energy_ev_per_fu": -156.7,
  "formation_energy_uncorrected_ev_per_atom": -0.438,
  "lattice_angstrom": [[5.585, 0.000, 0.000], [0.000, 5.585, 0.000], [0.000, 0.000, 5.585]],
  "species": ["Cs", "Mg", "Te", "Te", "Te"],
  "frac_coords": [[0.000, 0.000, 0.000], [0.500, 0.500, 0.500], [0.000, 0.500, 0.500], [0.500, 0.000, 0.500], [0.500, 0.500, 0.000]]
}